No. 1
# Ac2NpCuO8, optimized geometry, DFT PBE-GGA
data_Ac2NpCuO8
_chemical_formula_sum 'Ac2 Np1 Cu1 O8'
_cell_length_a 4.558
_cell_length_b 5.446
_cell_length_c 7.758
_cell_angle_alpha 78.29
_cell_angle_beta 83.52
_cell_angle_gamma 80.06
_symmetry_space_group_name_H-M 'P -1'
_symmetry_Int_Tables_number 2
_symmetry_space_group_name_Hall '-P 1'
loop_
_atom_site_label
_atom_site_type_symbol
_atom_site_fract_x
_atom_site_fract_y
_atom_site_fract_z
Ac1 Ac 0.058 0.073 0.228
Np1 Np 0.500 0.500 0.500
Cu1 Cu 0.500 0.500 0.000
O1 O 0.105 0.715 0.507
O2 O 0.197 0.756 0.041
O3 O 0.394 0.211 0.664
O4 O 0.483 0.346 0.243
# Formation energy (no corrections), eV/atom: -2.49


No. 2
# ZrAl2P, optimized geometry, DFT PBE-GGA
data_ZrAl2P
_chemical_formula_sum 'Zr3 Al6 P3'
_cell_length_a 3.4235
_cell_length_b 3.4235
_cell_length_c 22.5749
_cell_angle_alpha 90.00
_cell_angle_beta 90.00
_cell_angle_gamma 120.00
_symmetry_space_group_name_H-M 'R 3 m'
_symmetry_Int_Tables_number 160
_symmetry_space_group_name_Hall 'R 3 -2"'
loop_
_atom_site_label
_atom_site_type_symbol
_atom_site_fract_x
_atom_site_fract_y
_atom_site_fract_z
Zr1 Zr 0.0000 0.0000 0.0000
Al1 Al 0.0000 0.0000 0.5274
Al2 Al 0.0000 0.0000 0.7656
P1 P 0.0000 0.0000 0.2572
# N(E_F), states/eV/atom: 0.578
# Energy relative to the elements, meV per atom: -339


No. 3
# SrNb3Al, optimized geometry, DFT PBE-GGA
data_SrNb3Al
_chemical_formula_sum 'Sr1 Nb3 Al1'
_cell_length_a 4.967
_cell_length_b 4.967
_cell_length_c 4.967
_cell_angle_alpha 90.00
_cell_angle_beta 90.00
_cell_angle_gamma 90.00
_symmetry_space_group_name_H-M 'P m -3 m'
_symmetry_Int_Tables_number 221
_symmetry_space_group_name_Hall '-P 4 2 3'
loop_
_atom_site_label
_atom_site_type_symbol
_atom_site_fract_x
_atom_site_fract_y
_atom_site_fract_z
Sr1 Sr 0.000 0.000 0.000
Nb1 Nb 0.000 0.500 0.500
Al1 Al 0.500 0.500 0.500
# N(E_F), states/eV/atom: 1.352
# Energy relative to the elements, meV per atom: 1112


The calculation returns the following ρ values, one per record and in order: 7.92, 3.83, 5.33 g/cm3.
The calculation returns the following spin magnetization values, one per record and in order: 0.000, 0.000, 0.000 μB per cell.